First-principles (PBE) data for a geometry-optimized Ac2Al4InGa3 structure, as listed in Alexandria via LeMat-Bulk.

Density of states at the Fermi level (states/eV/cell): 4.824
ΔE_f (meV/atom): -368
SG: P-4m2

Lattice parameters (Å, degrees): 4.506 4.506 11.253 90.00 90.00 90.00
Atoms (fractional coordinates):
1 Al 0.500 0.000 0.640
2 Ac 0.000 0.500 0.752
3 Ga 0.000 0.500 0.129
4 Ga 0.500 0.000 0.871
5 Al 0.000 0.500 0.360
6 Ac 0.500 0.000 0.248
7 Al 0.000 0.000 0.000
8 Al 0.500 0.500 0.000
9 Ga 0.000 0.000 0.500
10 In 0.500 0.500 0.500

=====

First-principles (PBE) data for a geometry-optimized CdAgRh structure, as listed in Alexandria via LeMat-Bulk.

Density of states at the Fermi level (states/eV/cell): 1.231
ΔE_f (meV/atom): 318
SG: F-43m

Lattice parameters (Å, degrees): 4.441 4.441 4.441 60.00 60.00 60.00
Atoms (fractional coordinates):
1 Ag 0.000 0.000 0.000
2 Rh 0.750 0.750 0.750
3 Cd 0.500 0.500 0.500

=====

First-principles (PBE) data for a geometry-optimized OsBrO2 structure, as listed in Alexandria via LeMat-Bulk.

Density of states at the Fermi level (states/eV/cell): 5.628
ΔE_f (raw) (kJ/mol of atoms): 117
SG: Fm-3m

Lattice parameters (Å, degrees): 4.037 4.037 4.037 60.00 60.00 60.00
Atoms (fractional coordinates):
1 Os 0.500 0.500 0.500
2 O 0.250 0.250 0.250
3 Br 0.000 0.000 0.000
4 O 0.750 0.750 0.750